# ErPb3F8

An optimized crystal structure of ErPb3F8 (PBE, the Alexandria database).

a = 5.9059 Å, b = 5.9059 Å, c = 5.9059 Å
α = 90.00°, β = 90.00°, γ = 90.00°
Last column: nearest neighbours and their distance in Å.
Atoms (fractional coordinates):
Er  0.0000  0.0000  0.0000  8 F 2.28
Pb  0.0000  0.5000  0.5000  8 F 2.66
Pb  0.5000  0.0000  0.5000  8 F 2.66
Pb  0.5000  0.5000  0.0000  8 F 2.66
F  0.2230  0.2230  0.2230  1 Er 2.28
F  0.2230  0.2230  0.7770  1 Er 2.28
F  0.2230  0.7770  0.2230  1 Er 2.28
F  0.2230  0.7770  0.7770  1 Er 2.28
F  0.7770  0.2230  0.2230  1 Er 2.28
F  0.7770  0.2230  0.7770  1 Er 2.28
F  0.7770  0.7770  0.2230  1 Er 2.28
F  0.7770  0.7770  0.7770  1 Er 2.28

Values from the calculation:
**DOS at the Fermi energy**: 2.52 states/eV/cell
**DFT total energy**: -63.80 eV for the cell shown
**Calculated volume**: 17.2 Å³ per atom
**Formation energy without anion corrections**: -266 kJ/mol of atoms


# ErPb2F8

An optimized crystal structure of ErPb2F8 (PBE, the Alexandria database).

a = 7.7862 Å, b = 7.7862 Å, c = 5.5004 Å
α = 106.43°, β = 106.43°, γ = 29.05°
Last column: nearest neighbours and their distance in Å.
Atoms (fractional coordinates):
Er  0.0000  0.0000  0.0000  8 F 2.26-2.31
Pb  0.3312  0.3312  0.3313  8 F 2.42-2.55
Pb  0.6688  0.6688  0.6687  8 F 2.42-2.55
F  0.0934  0.0934  0.4036  1 Er 2.26, 2 Pb 2.50
F  0.1430  0.1430  0.9385  1 Er 2.28
F  0.2740  0.2740  0.6982  3 Pb 2.42-2.49, 1 F 2.68
F  0.4788  0.4788  0.1989  2 Er 2.31, 1 F 2.45, 1 Pb 2.54
F  0.5212  0.5212  0.8011  2 Er 2.31, 1 F 2.45, 1 Pb 2.54
F  0.7260  0.7260  0.3018  3 Pb 2.42-2.49, 1 F 2.68
F  0.8570  0.8570  0.0615  1 Er 2.28
F  0.9066  0.9066  0.5964  1 Er 2.26, 2 Pb 2.50

Values from the calculation:
**DOS at the Fermi energy**: 6.50 states/eV/cell
**DFT total energy**: -58.19 eV for the cell shown
**Calculated volume**: 14.1 Å³ per atom
**Formation energy without anion corrections**: -274 kJ/mol of atoms


# ErPbF

An optimized crystal structure of ErPbF (PBE, the Alexandria database).

a = 6.7219 Å, b = 6.5939 Å, c = 7.0685 Å
α = 90.00°, β = 110.78°, γ = 90.00°
Last column: nearest neighbours and their distance in Å.
Atoms (fractional coordinates):
Er  0.2370  0.1493  0.2479  2 F 2.12-2.13
Er  0.2370  0.3507  0.7479  2 F 2.12-2.13
Er  0.7630  0.6493  0.2521  2 F 2.12-2.13
Er  0.7630  0.8507  0.7521  2 F 2.12-2.13
Pb  0.3240  0.6737  0.4393  1 Pb 3.19, 4 Er 3.21-3.53, 4 F 3.42-3.56
Pb  0.3240  0.8263  0.9393  1 Pb 3.19, 4 Er 3.21-3.53, 4 F 3.42-3.56
Pb  0.6760  0.1737  0.0607  1 Pb 3.19, 4 Er 3.21-3.53, 4 F 3.42-3.56
Pb  0.6760  0.3263  0.5607  1 Pb 3.19, 4 Er 3.21-3.53, 4 F 3.42-3.56
F  0.1399  0.1428  0.5039  2 Er 2.12-2.13
F  0.1399  0.3572  0.0039  2 Er 2.12-2.13
F  0.8601  0.6428  0.9961  2 Er 2.12-2.13
F  0.8601  0.8572  0.4961  2 Er 2.12-2.13

Values from the calculation:
**DOS at the Fermi energy**: 2.97 states/eV/cell
**DFT total energy**: -62.39 eV for the cell shown
**Calculated volume**: 24.4 Å³ per atom
**Formation energy without anion corrections**: -175 kJ/mol of atoms


# RbErPd2F8

An optimized crystal structure of RbErPd2F8 (PBE, the Alexandria database).

a = 5.9604 Å, b = 5.9604 Å, c = 8.0193 Å
α = 90.00°, β = 90.00°, γ = 120.00°
Last column: nearest neighbours and their distance in Å.
Atoms (fractional coordinates):
Rb  0.0000  0.0000  0.0000  12 F 3.16-3.44
Er  0.0000  0.0000  0.5000  6 F 2.16
Pd  0.3333  0.6667  0.7514  4 F 2.00-2.17
Pd  0.6667  0.3333  0.2486  4 F 2.00-2.17
F  0.0218  0.2933  0.6675  1 Er 2.16, 1 Pd 2.17
F  0.2716  0.9782  0.6675  1 Er 2.16, 1 Pd 2.17
F  0.2933  0.2716  0.3325  1 Er 2.16, 1 Pd 2.17
F  0.3333  0.6667  0.0013  1 Pd 2.00
F  0.6667  0.3333  0.9987  1 Pd 2.00
F  0.7067  0.7284  0.6675  1 Er 2.16, 1 Pd 2.17
F  0.7284  0.0218  0.3325  1 Er 2.16, 1 Pd 2.17
F  0.9782  0.7067  0.3325  1 Er 2.16, 1 Pd 2.17

Values from the calculation:
**DOS at the Fermi energy**: 11.88 states/eV/cell
**DFT total energy**: -56.15 eV for the cell shown
**Calculated volume**: 20.6 Å³ per atom
**Formation energy without anion corrections**: -203 kJ/mol of atoms